The following is a PBE-GGA calculation of a relaxed structure of Rb3Tl8Pb3, from Alexandria via LeMat-Bulk.

a = 10.176 Å, b = 10.176 Å, c = 10.176 Å
α = 148.86°, β = 107.92°, γ = 80.59°
Sites, in units of the cell vectors:
Rb1 0.000 0.000 0.000
Rb2 0.302 0.302 0.000
Rb3 0.698 0.698 0.000
Tl1 0.029 0.668 0.361
Tl2 0.143 0.867 0.276
Tl3 0.307 0.668 0.639
Tl4 0.410 0.133 0.276
Tl5 0.590 0.867 0.724
Tl6 0.693 0.332 0.361
Tl7 0.857 0.133 0.724
Tl8 0.971 0.332 0.639
Pb1 0.311 0.500 0.811
Pb2 0.500 0.000 0.500
Pb3 0.689 0.500 0.189

Computed properties:
Calculated formation energy in meV per atom: -78
Space-group type: Immm (71)